# 1
Compound: PdRhN2F
Source: Alexandria via LeMat-Bulk
Functional: SCAN
Structure: single point on PBEsol structure

## Properties
DOS at the Fermi energy ... 4.392 states/eV/cell
Raw formation energy ... 6.60 eV per formula unit
Total energy ... -16.41 eV per atom

Cell: 3.8695 3.8695 3.8972 Å, 90.00 90.00 90.00°
Positions (direct):
Pd (0.0000, 0.0000, 0.0000)
Rh (0.5000, 0.5000, 0.5000)
N (0.0000, 0.5000, 0.0000)
N (0.5000, 0.0000, 0.0000)
F (0.0000, 0.0000, 0.5000)

***

# 2
Compound: BeOs
Source: Alexandria via LeMat-Bulk
Functional: SCAN
Structure: single point on PBEsol structure

## Properties
DOS at the Fermi energy ... 1.293 states/eV/cell
Energy relative to the elements ... -0.087 eV per atom
Total energy ... -38.20 eV per atom

Cell: 2.7035 2.7035 3.6059 Å, 90.00 90.00 120.00°
Positions (direct):
Be (0.0000, 0.0000, 0.0000)
Os (0.3333, 0.6667, 0.5000)

***

# 3
Compound: KBa2Sr
Source: Alexandria via LeMat-Bulk
Functional: SCAN
Structure: single point on PBEsol structure

## Properties
DOS at the Fermi energy ... 4.867 states/eV/cell
Energy relative to the elements ... 0.083 eV per atom
Total energy ... -27.34 eV per atom
Polymorph energy (0 for the lowest one) ... 29 meV per atom

Cell: 4.9270 4.9270 9.7681 Å, 90.00 90.00 90.00°
Positions (direct):
K (0.0000, 0.0000, 0.0000)
Ba (0.0000, 0.0000, 0.4882)
Ba (0.5000, 0.5000, 0.7318)
Sr (0.5000, 0.5000, 0.2554)

***

# 4
Compound: Cu2TcIr
Source: Alexandria via LeMat-Bulk
Functional: SCAN
Structure: single point on PBEsol structure

## Properties
DOS at the Fermi energy ... 3.294 states/eV/cell
Energy relative to the elements ... 0.364 eV per atom
Total energy ... -33.78 eV per atom
Polymorph energy (0 for the lowest one) ... 347 meV per atom

Cell: 4.1944 4.1944 2.8687 Å, 90.00 90.00 90.00°
Positions (direct):
Cu (0.0000, 0.5000, 0.0000)
Cu (0.5000, 0.0000, 0.0000)
Tc (0.0000, 0.0000, 0.5000)
Ir (0.5000, 0.5000, 0.5000)

***

# 5
Compound: CaMnCd2
Source: Alexandria via LeMat-Bulk
Functional: SCAN
Structure: single point on PBEsol structure

## Properties
DOS at the Fermi energy ... 2.798 states/eV/cell
Energy relative to the elements ... -0.055 eV per atom
Total energy ... -22.24 eV per atom

Cell: 3.5483 3.5483 6.9200 Å, 90.00 90.00 90.00°
Positions (direct):
Ca (0.0000, 0.0000, 0.0000)
Mn (0.5000, 0.5000, 0.7174)
Cd (0.0000, 0.0000, 0.5310)
Cd (0.5000, 0.5000, 0.2890)

***

# 6
Compound: Cs2NaCoB
Source: Alexandria via LeMat-Bulk
Functional: SCAN
Structure: single point on PBEsol structure

## Properties
DOS at the Fermi energy ... 4.657 states/eV/cell
Energy relative to the elements ... 1.577 eV per atom
Total energy ... -19.34 eV per atom

Cell: 5.4517 5.4517 5.4804 Å, 90.00 90.00 90.00°
Positions (direct):
Cs (0.0000, 0.5000, 0.0000)
Cs (0.5000, 0.0000, 0.0000)
Na (0.0000, 0.0000, 0.5000)
Co (0.0000, 0.0000, 0.0000)
B (0.5000, 0.5000, 0.5000)